Record 1
! CuPt2Rh3 PBE optimized geometry; values from VASP
&SYSTEM
  ibrav = 0, nat = 12, ntyp = 3
/
ATOMIC_SPECIES
Cu 63.55 Cu.upf
Pt 195.08 Pt.upf
Rh 102.91 Rh.upf
CELL_PARAMETERS angstrom
0.000 3.791 9.721
2.695 0.000 9.721
2.695 3.791 0.000
ATOMIC_POSITIONS crystal
Cu 0.181 0.181 0.819
Cu 0.819 0.819 0.181
Pt 0.248 0.752 0.248
Pt 0.250 0.250 0.250
Pt 0.750 0.750 0.750
Pt 0.752 0.248 0.752
Rh 0.182 0.679 0.818
Rh 0.318 0.318 0.682
Rh 0.321 0.818 0.679
Rh 0.679 0.182 0.321
Rh 0.682 0.682 0.318
Rh 0.818 0.321 0.182
! Offset from the most stable computed form: 1.95 eV/f.u.
! E_form: 1.893 eV per formula unit

---

Record 2
! Tm3BiPbS PBE optimized geometry; values from VASP
&SYSTEM
  ibrav = 0, nat = 12, ntyp = 4
/
ATOMIC_SPECIES
Tm 168.93 Tm.upf
Bi 208.98 Bi.upf
Pb 207.20 Pb.upf
S 32.06 S.upf
CELL_PARAMETERS angstrom
9.135 0.000 0.000
0.000 4.162 0.000
-0.024 0.000 10.122
ATOMIC_POSITIONS crystal
Tm 0.124 0.250 0.390
Tm 0.358 0.750 0.650
Tm 0.363 0.250 0.087
Tm 0.637 0.750 0.913
Tm 0.642 0.250 0.350
Tm 0.876 0.750 0.610
Bi 0.109 0.250 0.697
Bi 0.891 0.750 0.303
Pb 0.373 0.750 0.329
Pb 0.627 0.250 0.671
S 0.351 0.750 0.927
S 0.649 0.250 0.073
! Formation energy (no corrections): -82.2 kJ per mole of atoms

---

The evaluated density of states at the Fermi level for the records listed, in turn: 20.75 3.13 states/eV/cell.
The evaluated size of the total moment for the records listed, in turn: 0.0 0.0 μB/cell.
The evaluated total DFT energy (no corrections) for the records listed, in turn: -6.06 -5.04 eV per atom.